MgCr2AgN | PBE-GGA | relaxed

The value obtained for the final energy is -5.017 eV per atom. The value obtained for the density of states at the Fermi level is 3.27 states/eV/cell. The calculation puts the energy relative to the elements, uncorrected at 1.387 eV/atom.

It has space group P4/mmm (No. 123), with a = 5.1936 Å, b = 5.1936 Å, c = 3.6844 Å, α = 90.00°, β = 90.00° and γ = 90.00°. The asymmetric unit holds Mg at (0.0000, 0.0000, 0.0000), Cr at (0.0000, 0.5000, 0.0000), Ag at (0.5000, 0.5000, 0.5000) and N at (0.0000, 0.0000, 0.5000).